Entry from Alexandria via LeMat-Bulk: a relaxed structure of BO4 (GGA-PBE).

Output
* magnetic moment: 5.01 μB/cell
* formation energy from raw total energies: 0.59 eV per atom

The structure in POSCAR format:
```
BO4
1.0
3.375 0.000 0.000
0.000 3.375 0.000
0.000 0.000 3.375
B O
1 4
Direct
0.500 0.500 0.500
0.000 0.000 0.000
0.500 0.000 0.500
0.000 0.500 0.500
0.500 0.500 0.000
```

Entry from Alexandria via LeMat-Bulk: a relaxed structure of BO (GGA-PBE).

Output
* magnetic moment: 0.00 μB/cell
* formation energy from raw total energies: -1.76 eV per atom
* energy above the most stable polymorph in this dataset: 67 meV/atom

The structure in POSCAR format:
```
BO
1.0
2.450 0.000 0.000
0.000 6.014 0.000
0.000 0.000 4.139
B O
4 4
Direct
0.000 0.354 0.605
0.000 0.646 0.605
0.500 0.854 0.105
0.500 0.146 0.105
0.000 0.236 0.940
0.000 0.764 0.940
0.500 0.736 0.440
0.500 0.264 0.440
```

Entry from Alexandria via LeMat-Bulk: a relaxed structure of BO (GGA-PBE).

Output
* magnetic moment: 0.00 μB/cell
* formation energy from raw total energies: -1.49 eV per atom
* energy above the most stable polymorph in this dataset: 332 meV/atom

The structure in POSCAR format:
```
BO
1.0
8.721 0.000 0.000
0.000 8.721 0.000
0.000 0.000 2.441
B O
8 8
Direct
0.458 0.651 0.000
0.542 0.349 0.000
0.349 0.458 0.000
0.651 0.542 0.000
0.958 0.151 0.500
0.042 0.849 0.500
0.849 0.958 0.500
0.151 0.042 0.500
0.222 0.062 0.000
0.778 0.938 0.000
0.938 0.222 0.000
0.062 0.778 0.000
0.722 0.562 0.500
0.278 0.438 0.500
0.438 0.722 0.500
0.562 0.278 0.500
```

Entry from Alexandria via LeMat-Bulk: a relaxed structure of BO (GGA-PBE).

Output
* magnetic moment: 0.00 μB/cell
* formation energy from raw total energies: -1.60 eV per atom
* energy above the most stable polymorph in this dataset: 221 meV/atom

The structure in POSCAR format:
```
BO
1.0
-1.236 -0.351 2.129
2.300 -0.059 2.777
0.092 4.591 2.164
B O
2 2
Direct
0.364 0.222 0.054
0.636 0.778 0.946
0.253 0.668 0.814
0.747 0.332 0.186
```

Among the records above, which one has the lowest formation energy from raw total energies? number 2

Which of these has the highest formation energy from raw total energies? BO4